A relaxed structure of SrNbH, computed with PBE.

```
data_SrNbH
_chemical_formula_sum 'Sr2 Nb2 H2'
_symmetry_space_group_name_H-M 'P 1'
_symmetry_Int_Tables_number 1
_symmetry_space_group_name_Hall 'P 1'
_cell_length_a 3.5171
_cell_length_b 3.7479
_cell_length_c 9.7430
_cell_angle_alpha 90.00
_cell_angle_beta 92.12
_cell_angle_gamma 90.00
loop_
_atom_site_label
_atom_site_type_symbol
_atom_site_fract_x
_atom_site_fract_y
_atom_site_fract_z
Sr1 Sr 0.5912 0.5000 0.3431
Sr2 Sr 0.1184 0.0000 0.7142
Nb1 Nb 0.6607 0.5000 0.9690
Nb2 Nb 0.1259 0.0000 0.0970
H1 H 0.1327 0.5000 0.8612
H2 H 0.9960 0.5000 0.1399
```

Results
Raw total energy, eV per atom: -4.930
Space-group type: No. 6
Crystal system: monoclinic
Fermi-level density of states, states/eV/cell: 4.281
ρ, g/cm3: 4.70



A relaxed structure of SrNbH, computed with PBE.

```
data_SrNbH
_chemical_formula_sum 'Sr2 Nb2 H2'
_symmetry_space_group_name_H-M 'P 1'
_symmetry_Int_Tables_number 1
_symmetry_space_group_name_Hall 'P 1'
_cell_length_a 3.4515
_cell_length_b 6.9884
_cell_length_c 6.2915
_cell_angle_alpha 59.71
_cell_angle_beta 89.92
_cell_angle_gamma 75.77
loop_
_atom_site_label
_atom_site_type_symbol
_atom_site_fract_x
_atom_site_fract_y
_atom_site_fract_z
H1 H 0.0556 0.0565 0.2873
H2 H 0.8187 0.5325 0.3838
Nb1 Nb 0.0398 0.0891 0.9702
Nb2 Nb 0.6902 0.7901 0.0293
Sr1 Sr 0.4524 0.2639 0.3488
Sr2 Sr 0.2616 0.6478 0.6077
```

Results
Raw total energy, eV per atom: -4.859
Space-group type: No. 1
Crystal system: triclinic
Fermi-level density of states, states/eV/cell: 2.924
ρ, g/cm3: 4.80



A relaxed structure of SrNbH, computed with PBE.

```
data_SrNbH
_chemical_formula_sum 'Sr2 Nb2 H2'
_symmetry_space_group_name_H-M 'P 1'
_symmetry_Int_Tables_number 1
_symmetry_space_group_name_Hall 'P 1'
_cell_length_a 3.4902
_cell_length_b 3.4902
_cell_length_c 13.4078
_cell_angle_alpha 90.00
_cell_angle_beta 90.00
_cell_angle_gamma 120.00
loop_
_atom_site_label
_atom_site_type_symbol
_atom_site_fract_x
_atom_site_fract_y
_atom_site_fract_z
Sr1 Sr 0.0000 0.0000 0.2500
Sr2 Sr 0.0000 0.0000 0.7500
Nb1 Nb 0.0000 0.0000 0.0000
Nb2 Nb 0.0000 0.0000 0.5000
H1 H 0.3333 0.6667 0.2500
H2 H 0.6667 0.3333 0.7500
```

Results
Raw total energy, eV per atom: -3.908
Space-group type: No. 194
Crystal system: hexagonal
Fermi-level density of states, states/eV/cell: 4.421
ρ, g/cm3: 4.26



A relaxed structure of SrNbH, computed with PBE.

```
data_SrNbH
_chemical_formula_sum 'Sr4 Nb4 H4'
_symmetry_space_group_name_H-M 'P 1'
_symmetry_Int_Tables_number 1
_symmetry_space_group_name_Hall 'P 1'
_cell_length_a 19.1359
_cell_length_b 3.5242
_cell_length_c 4.1658
_cell_angle_alpha 90.00
_cell_angle_beta 90.00
_cell_angle_gamma 90.00
loop_
_atom_site_label
_atom_site_type_symbol
_atom_site_fract_x
_atom_site_fract_y
_atom_site_fract_z
Sr1 Sr 0.9101 0.2500 0.7490
Sr2 Sr 0.5899 0.7500 0.2490
Sr3 Sr 0.0899 0.7500 0.2510
Sr4 Sr 0.4101 0.2500 0.7510
Nb1 Nb 0.2676 0.2500 0.2516
Nb2 Nb 0.2324 0.7500 0.7516
Nb3 Nb 0.7324 0.7500 0.7484
Nb4 Nb 0.7676 0.2500 0.2484
H1 H 0.7812 0.2500 0.7483
H2 H 0.7188 0.7500 0.2483
H3 H 0.2188 0.7500 0.2517
H4 H 0.2812 0.2500 0.7517
```

Results
Raw total energy, eV per atom: -4.860
Space-group type: No. 62
Crystal system: orthorhombic
Fermi-level density of states, states/eV/cell: 7.685
ρ, g/cm3: 4.29



> Among the records above, which one has the highest ρ?

number 2



> Look up the raw total energy of the first one.

-4.930 eV per atom